Entry from Alexandria via LeMat-Bulk: a geometry-optimized RbCuB2S4 structure (GGA-PBE).

The uncorrected formation energy is -0.457 eV per atom. The calculation puts the volume at 26.3 A^3/atom. For the spin magnetization, the calculation gives 0.000 μB/f.u.

It has space group I222 (No. 23), with a = 5.4783 Å, b = 8.3261 Å, c = 9.2298 Å, α = 90.00°, β = 90.00° and γ = 90.00°. Symmetry generates all atoms from Rb at (0.0000, 0.0000, 0.0000), Cu at (0.0000, 0.0000, 0.5000), B at (0.0000, 0.5000, 0.1645) and S at (0.2362, 0.3700, 0.8314).